1.
RbSnHg3 | PBE-GGA | optimized geometry

Cell and atoms, written as POSCAR:
```
RbSnHg3
1.0
6.564 0.000 0.000
0.000 6.564 0.000
0.000 0.000 6.564
Rb Sn Hg
1 1 3
direct
0.000 0.000 0.000 Rb
0.500 0.500 0.500 Sn
0.000 0.000 0.500 Hg
0.000 0.500 0.000 Hg
0.500 0.000 0.000 Hg
```

Values from the calculation:
Uncorrected energy (eV per atom): -0.666
SG: Pm-3m, No. 221
Formation enthalpy at 0 K (eV/atom): 0.51
DOS at the Fermi energy (states/eV/cell): 3.77
ΔE to the lowest computed polymorph (eV/atom): 0.673
Total magnetization (μB/f.u.): 2.72

***

2.
LiPmH3 | PBE-GGA | optimized geometry

Cell and atoms, written as POSCAR:
```
LiPmH3
1.0
3.967 0.000 0.000
0.000 4.734 0.000
-1.977 0.000 5.873
Li Pm H
2 2 6
direct
0.077 0.250 0.155 Li
0.923 0.750 0.845 Li
0.354 0.250 0.707 Pm
0.646 0.750 0.293 Pm
0.184 0.511 0.369 H
0.184 0.989 0.369 H
0.437 0.750 0.875 H
0.563 0.250 0.125 H
0.816 0.011 0.631 H
0.816 0.489 0.631 H
```

Values from the calculation:
Uncorrected energy (eV per atom): -3.824
SG: P2_1/m, No. 11
DOS at the Fermi energy (states/eV/cell): 2.74
ΔE to the lowest computed polymorph (eV/atom): 0.000
Total magnetization (μB/f.u.): 0.00

***

3.
NdSm5Tm | PBE-GGA | optimized geometry

Cell and atoms, written as POSCAR:
```
NdSm5Tm
1.0
4.375 -4.923 0.000
4.375 4.923 0.000
-3.978 0.000 10.990
Nd Sm Tm
2 10 2
direct
0.247 0.753 0.750 Nd
0.753 0.247 0.250 Nd
0.052 0.188 0.663 Sm
0.188 0.052 0.163 Sm
0.231 0.429 0.465 Sm
0.404 0.596 0.250 Sm
0.429 0.231 0.965 Sm
0.571 0.769 0.035 Sm
0.596 0.404 0.750 Sm
0.769 0.571 0.535 Sm
0.812 0.948 0.837 Sm
0.948 0.812 0.337 Sm
0.000 0.500 0.000 Tm
0.500 0.000 0.500 Tm
```

Values from the calculation:
Uncorrected energy (eV per atom): -4.586
SG: C2/c, No. 15
Formation enthalpy at 0 K (eV/atom): 0.10
DOS at the Fermi energy (states/eV/cell): 21.01
ΔE to the lowest computed polymorph (eV/atom): 0.000
Total magnetization (μB/f.u.): 0.00